(1)
A relaxed structure of EuBiAs2, computed with PBE.

a b c (Å): 7.497 7.497 7.497
angles (deg): 33.03 33.03 33.03
Positions (direct):
Eu1 0.000 0.000 0.000
Bi1 0.500 0.500 0.500
As1 0.250 0.250 0.250
As2 0.750 0.750 0.750

Values from the calculation:
Its crystal system is trigonal. The symmetry is R-3m. For the excess energy over the best structure of this formula in the dataset, the calculation gives 0.00 kJ per mole of atoms. Its formation energy from the elements is -0.5083 eV/atom.


(2)
A relaxed structure of GdMgScIn, computed with PBE.

a b c (Å): 5.195 5.195 5.195
angles (deg): 60.00 60.00 60.00
Positions (direct):
Gd1 0.000 0.000 0.000
Mg1 0.250 0.250 0.250
Sc1 0.500 0.500 0.500
In1 0.750 0.750 0.750

Values from the calculation:
Its crystal system is cubic. The symmetry is F-43m. Its formation energy from the elements is -0.3033 eV/atom.


(3)
A relaxed structure of PmNdAg4, computed with PBE.

a b c (Å): 3.964 3.979 9.870
angles (deg): 90.00 90.00 90.00
Positions (direct):
Pm1 0.000 0.000 0.000
Nd1 0.500 0.500 0.500
Ag1 0.000 0.500 0.248
Ag2 0.000 0.500 0.752
Ag3 0.500 0.000 0.249
Ag4 0.500 0.000 0.751

Values from the calculation:
Its crystal system is orthorhombic. The symmetry is Pmmm. For the excess energy over the best structure of this formula in the dataset, the calculation gives 26.22 kJ per mole of atoms. Its formation energy from the elements is 0.0135 eV/atom.


(4)
A relaxed structure of NdSmTlTe, computed with PBE.

a b c (Å): 4.490 4.490 6.366
angles (deg): 90.00 90.00 90.00
Positions (direct):
Nd1 0.000 0.000 0.000
Sm1 0.500 0.500 0.500
Tl1 0.500 0.500 0.000
Te1 0.000 0.000 0.500

Values from the calculation:
Its crystal system is tetragonal. For the formation energy from raw total energies, the calculation gives -0.86 eV/atom. The symmetry is P4/mmm.


(5)
A relaxed structure of KGe2S, computed with PBE.

a b c (Å): 10.335 10.335 10.335
angles (deg): 154.33 154.33 36.61
Positions (direct):
K1 0.000 0.000 0.000
K2 0.750 0.250 0.500
Ge1 0.250 0.625 0.125
Ge2 0.375 0.500 0.625
Ge3 0.500 0.125 0.875
Ge4 0.875 0.750 0.375
S1 0.250 0.750 0.500
S2 0.500 0.500 0.000

Values from the calculation:
Its crystal system is tetragonal. For the formation energy from raw total energies, the calculation gives -0.14 eV/atom. The symmetry is I-42d.


(6)
A relaxed structure of Be2TlNi, computed with PBE.

a b c (Å): 2.849 3.737 5.256
angles (deg): 90.00 98.52 90.00
Positions (direct):
Be1 0.164 0.000 0.334
Be2 0.836 0.000 0.666
Tl1 0.000 0.500 0.000
Ni1 0.500 0.500 0.500

Values from the calculation:
Its crystal system is monoclinic. The symmetry is P2/m. For the excess energy over the best structure of this formula in the dataset, the calculation gives 20.38 kJ per mole of atoms. Its formation energy from the elements is 0.3659 eV/atom.


(7)
A relaxed structure of CaInTcO6, computed with PBE.

a b c (Å): 5.420 5.420 4.937
angles (deg): 90.00 90.00 120.00
Positions (direct):
Ca1 0.000 0.000 0.000
In1 0.333 0.667 0.500
Tc1 0.667 0.333 0.500
O1 0.385 0.036 0.721
O2 0.385 0.349 0.279
O3 0.651 0.036 0.279
O4 0.651 0.615 0.721
O5 0.964 0.349 0.721
O6 0.964 0.615 0.279

Values from the calculation:
Its crystal system is trigonal. For the formation energy from raw total energies, the calculation gives -1.67 eV/atom. The symmetry is P312.


(8)
A relaxed structure of GdTh2Rh, computed with PBE.

a b c (Å): 3.669 3.669 8.148
angles (deg): 90.00 90.00 90.00
Positions (direct):
Gd1 0.000 0.000 0.000
Th1 0.500 0.500 0.298
Th2 0.500 0.500 0.702
Rh1 0.000 0.000 0.500

Values from the calculation:
Its crystal system is tetragonal. The symmetry is P4/mmm. For the excess energy over the best structure of this formula in the dataset, the calculation gives 0.00 kJ per mole of atoms. Its formation energy from the elements is -0.3107 eV/atom.


(9)
A relaxed structure of Na4ZnHg, computed with PBE.

a b c (Å): 8.385 8.385 5.640
angles (deg): 100.87 100.87 113.96
Positions (direct):
Na1 0.064 0.697 0.926
Na2 0.227 0.380 0.656
Na3 0.303 0.936 0.574
Na4 0.380 0.227 0.156
Na5 0.620 0.773 0.844
Na6 0.697 0.064 0.426
Na7 0.773 0.620 0.344
Na8 0.936 0.303 0.074
Zn1 0.001 0.999 0.250
Zn2 0.999 0.001 0.750
Hg1 0.375 0.625 0.250
Hg2 0.625 0.375 0.750

Values from the calculation:
Its crystal system is monoclinic. The symmetry is C2/c. Its formation energy from the elements is -0.0700 eV/atom.


(10)
A relaxed structure of Ce2HfZr, computed with PBE.

a b c (Å): 5.248 5.248 5.248
angles (deg): 60.00 60.00 60.00
Positions (direct):
Ce1 0.250 0.250 0.250
Ce2 0.750 0.750 0.750
Hf1 0.000 0.000 0.000
Zr1 0.500 0.500 0.500

Values from the calculation:
Its crystal system is cubic. The symmetry is Fm-3m. For the excess energy over the best structure of this formula in the dataset, the calculation gives 15.79 kJ per mole of atoms. Its formation energy from the elements is 0.2892 eV/atom.


(11)
A relaxed structure of Ba2NaLu, computed with PBE.

a b c (Å): 14.202 14.202 14.202
angles (deg): 15.30 15.30 15.30
Positions (direct):
Ba1 0.084 0.084 0.084
Ba2 0.916 0.916 0.916
Na1 0.500 0.500 0.500
Lu1 0.000 0.000 0.000

Values from the calculation:
Its crystal system is trigonal. The symmetry is R-3m. For the excess energy over the best structure of this formula in the dataset, the calculation gives 16.24 kJ per mole of atoms. Its formation energy from the elements is 0.3640 eV/atom.


(12)
A relaxed structure of Nd3Tm4Cd, computed with PBE.

a b c (Å): 11.241 7.089 6.179
angles (deg): 90.00 90.00 90.00
Positions (direct):
Nd1 0.000 0.130 0.000
Nd2 0.233 0.117 0.359
Nd3 0.267 0.883 0.859
Nd4 0.500 0.870 0.500
Nd5 0.733 0.883 0.859
Nd6 0.767 0.117 0.359
Tm1 0.000 0.393 0.539
Tm2 0.000 0.629 0.021
Tm3 0.243 0.622 0.362
Tm4 0.257 0.378 0.862
Tm5 0.500 0.371 0.521
Tm6 0.500 0.607 0.039
Tm7 0.743 0.378 0.862
Tm8 0.757 0.622 0.362
Cd1 0.000 0.856 0.531
Cd2 0.500 0.144 0.031

Values from the calculation:
Its crystal system is orthorhombic. The symmetry is Pmn2_1. For the excess energy over the best structure of this formula in the dataset, the calculation gives 1.68 kJ per mole of atoms. Its formation energy from the elements is -0.0474 eV/atom.


(13)
A relaxed structure of AcYPb2, computed with PBE.

a b c (Å): 5.289 5.289 4.619
angles (deg): 90.00 90.00 90.00
Positions (direct):
Ac1 0.000 0.000 0.000
Y1 0.500 0.500 0.000
Pb1 0.000 0.500 0.500
Pb2 0.500 0.000 0.500

Values from the calculation:
Its crystal system is tetragonal. The symmetry is P4/mmm. Its formation energy from the elements is -0.4270 eV/atom.


(14)
A relaxed structure of U4As2H, computed with PBE.

a b c (Å): 8.110 8.110 8.110
angles (deg): 149.80 149.80 43.24
Positions (direct):
U1 0.000 0.500 0.500
U2 0.162 0.162 0.000
U3 0.500 0.000 0.500
U4 0.838 0.838 0.000
As1 0.357 0.357 0.000
As2 0.643 0.643 0.000
H1 0.000 0.000 0.000

Values from the calculation:
Its crystal system is tetragonal. The calculation puts the uncorrected energy at -59.746 eV per cell. The symmetry is I4/mmm.


(15)
A relaxed structure of Pu5Pd4Au, computed with PBE.

a b c (Å): 3.792 3.792 15.221
angles (deg): 90.00 90.00 90.00
Positions (direct):
Pu1 0.000 0.000 0.000
Pu2 0.000 0.000 0.198
Pu3 0.000 0.000 0.396
Pu4 0.000 0.000 0.604
Pu5 0.000 0.000 0.802
Pd1 0.500 0.500 0.098
Pd2 0.500 0.500 0.295
Pd3 0.500 0.500 0.705
Pd4 0.500 0.500 0.902
Au1 0.500 0.500 0.500

Values from the calculation:
Its crystal system is tetragonal. The symmetry is P4/mmm. Its formation energy from the elements is -0.3948 eV/atom.


(16)
A relaxed structure of LaPm5Os2, computed with PBE.

a b c (Å): 7.541 7.541 7.541
angles (deg): 142.93 109.78 82.17
Positions (direct):
La1 0.000 0.000 0.000
Pm1 0.146 0.338 0.808
Pm2 0.470 0.662 0.808
Pm3 0.500 0.000 0.500
Pm4 0.530 0.338 0.192
Pm5 0.854 0.662 0.192
Os1 0.238 0.738 0.500
Os2 0.762 0.262 0.500

Values from the calculation:
Its crystal system is orthorhombic. The symmetry is Immm. Its formation energy from the elements is 0.0842 eV/atom.


(17)
A relaxed structure of Ba2LiBi, computed with PBE.

a b c (Å): 12.217 12.217 12.217
angles (deg): 152.42 152.42 39.41
Positions (direct):
Ba1 0.104 0.625 0.979
Ba2 0.375 0.354 0.479
Ba3 0.646 0.125 0.021
Ba4 0.875 0.896 0.521
Li1 0.250 0.750 0.500
Li2 0.500 0.500 0.000
Bi1 0.000 0.000 0.000
Bi2 0.750 0.250 0.500

Values from the calculation:
Its crystal system is tetragonal. The symmetry is I-42d. Its formation energy from the elements is -0.0385 eV/atom.


(18)
A relaxed structure of CaReNi, computed with PBE.

a b c (Å): 6.484 6.484 6.484
angles (deg): 154.18 154.18 36.84
Positions (direct):
Ca1 0.000 0.000 0.000
Re1 0.697 0.697 0.000
Ni1 0.312 0.312 0.000

Values from the calculation:
Its crystal system is tetragonal. The symmetry is I4mm. For the excess energy over the best structure of this formula in the dataset, the calculation gives 1.07 kJ per mole of atoms. Its formation energy from the elements is 0.3754 eV/atom.


(19)
A relaxed structure of CuSbF2, computed with PBE.

a b c (Å): 7.174 7.174 7.174
angles (deg): 26.55 26.55 26.55
Positions (direct):
Cu1 0.000 0.000 0.000
Sb1 0.500 0.500 0.500
F1 0.389 0.389 0.389
F2 0.611 0.611 0.611

Values from the calculation:
Its crystal system is trigonal. For the formation energy from raw total energies, the calculation gives -1.09 eV/atom. The symmetry is R-3m. For the excess energy over the best structure of this formula in the dataset, the calculation gives 0.00 kJ per mole of atoms.


(20)
A relaxed structure of AcHg2Pd2Pb, computed with PBE.

a b c (Å): 6.781 6.781 6.781
angles (deg): 132.85 132.85 68.88
Positions (direct):
Ac1 0.000 0.000 0.000
Hg1 0.250 0.750 0.500
Hg2 0.750 0.250 0.500
Pd1 0.256 0.256 0.000
Pd2 0.744 0.744 0.000
Pb1 0.500 0.500 0.000

Values from the calculation:
Its crystal system is tetragonal. The symmetry is I4/mmm. Its formation energy from the elements is -0.2499 eV/atom.